No. 1
Compound: UTlHg2Cl6
Source: the Alexandria database
Functional: PBE
Structure: optimized geometry

Cell and atoms, written as POSCAR:
```
UTlHg2Cl6
1.0
0.000 5.821 5.821
5.821 0.000 5.821
5.821 5.821 0.000
U Tl Hg Cl
1 1 2 6
Cartesian
0.000 0.000 0.000 U
5.821 5.821 5.821 Tl
2.910 2.910 2.910 Hg
8.731 8.731 8.731 Hg
5.821 5.821 2.537 Cl
5.821 2.537 5.821 Cl
9.105 5.821 5.821 Cl
2.537 5.821 5.821 Cl
5.821 9.105 5.821 Cl
5.821 5.821 9.105 Cl
```

## Properties
For the total energy, the calculation gives -0.2730 Ry/atom. Its space-group type is Fm-3m, No. 225. As for the density: 4.4 Mg/m³. Its formation energy from raw total energies is -1.18 eV per atom.


No. 2
Compound: Al2SiNi
Source: the Alexandria database
Functional: PBE
Structure: optimized geometry

Cell and atoms, written as POSCAR:
```
Al2SiNi
1.0
3.915 0.000 0.000
-1.957 3.390 0.000
0.000 0.000 9.372
Al Si Ni
4 2 2
Cartesian
0.000 2.260 0.717 Al
0.000 2.260 6.941 Al
1.957 1.130 2.431 Al
1.957 1.130 8.655 Al
0.000 2.260 4.147 Si
1.957 1.130 5.226 Si
0.000 0.000 1.256 Ni
0.000 0.000 8.116 Ni
```

## Properties
For the total energy, the calculation gives -0.3486 Ry/atom. The calculation puts the energy above the lowest structure with this stoichiometry at 0.2435 eV/atom. Its space-group type is P-3m1, No. 164. As for the density: 3.8 Mg/m³. Its formation energy from raw total energies is -0.07 eV per atom.


No. 3
Compound: Sm3ScGe4
Source: the Alexandria database
Functional: PBE
Structure: optimized geometry

Cell and atoms, written as POSCAR:
```
Sm3ScGe4
1.0
4.227 0.000 0.000
0.000 6.163 0.000
0.000 0.000 15.754
Sm Sc Ge
6 2 8
Cartesian
0.000 0.000 0.000 Sm
0.000 3.082 3.076 Sm
0.000 3.082 12.678 Sm
2.113 0.000 4.801 Sm
2.113 0.000 10.953 Sm
2.113 3.082 7.877 Sm
0.000 0.000 7.877 Sc
2.113 3.082 0.000 Sc
0.000 1.846 5.871 Ge
0.000 1.846 9.883 Ge
0.000 4.317 5.871 Ge
0.000 4.317 9.883 Ge
2.113 1.236 2.006 Ge
2.113 1.236 13.748 Ge
2.113 4.928 2.006 Ge
2.113 4.928 13.748 Ge
```

## Properties
For the total energy, the calculation gives -0.4096 Ry/atom. The calculation puts the energy relative to the elements at -0.70 eV/atom. Its space-group type is Immm, No. 71. As for the density: 6.4 Mg/m³.


No. 4
Compound: KBa3Zn
Source: the Alexandria database
Functional: PBE
Structure: optimized geometry

Cell and atoms, written as POSCAR:
```
KBa3Zn
1.0
6.689 0.000 0.000
0.000 6.689 0.000
0.000 0.000 6.689
K Ba Zn
1 3 1
Cartesian
0.000 0.000 0.000 K
0.000 3.345 3.345 Ba
3.345 0.000 3.345 Ba
3.345 3.345 0.000 Ba
3.345 3.345 3.345 Zn
```

## Properties
For the total energy, the calculation gives -0.1194 Ry/atom. The calculation puts the energy above the lowest structure with this stoichiometry at 0.0000 eV/atom. The calculation puts the energy relative to the elements at 0.00 eV/atom. Its space-group type is Pm-3m, No. 221. As for the density: 2.9 Mg/m³.


No. 5
Compound: As3C5
Source: the Alexandria database
Functional: PBE
Structure: optimized geometry

Cell and atoms, written as POSCAR:
```
As3C5
1.0
3.300 0.000 0.000
0.000 3.300 0.000
0.000 0.000 9.164
As C
3 5
Cartesian
0.000 0.000 0.000 As
1.650 1.650 2.646 As
1.650 1.650 6.518 As
0.000 0.000 3.248 C
0.000 0.000 4.582 C
0.000 0.000 5.916 C
1.650 1.650 0.696 C
1.650 1.650 8.468 C
```

## Properties
For the total energy, the calculation gives -0.4419 Ry/atom. The calculation puts the energy above the lowest structure with this stoichiometry at 0.2100 eV/atom. The calculation puts the energy relative to the elements at 1.50 eV/atom. Its space-group type is P4/mmm, No. 123. As for the density: 4.7 Mg/m³.


No. 6
Compound: PuInGaO6
Source: the Alexandria database
Functional: PBE
Structure: optimized geometry

Cell and atoms, written as POSCAR:
```
PuInGaO6
1.0
5.288 0.000 0.000
-2.644 4.580 0.000
0.000 0.000 9.414
Pu In Ga O
2 2 2 12
Cartesian
0.000 3.053 2.353 Pu
2.644 1.527 7.060 Pu
0.000 0.000 0.000 In
0.000 0.000 4.707 In
0.000 3.053 7.060 Ga
2.644 1.527 2.353 Ga
-0.882 1.604 5.962 O
-1.696 3.014 8.159 O
0.882 1.604 8.159 O
-0.814 4.542 5.962 O
1.830 0.038 1.255 O
0.948 1.566 3.452 O
1.696 3.014 5.962 O
0.814 4.542 8.159 O
3.459 0.038 3.452 O
1.762 2.976 1.255 O
4.340 1.566 1.255 O
3.526 2.976 3.452 O
```

## Properties
For the total energy, the calculation gives -0.5498 Ry/atom. Its space-group type is P-31c, No. 163. As for the density: 7.6 Mg/m³. Its formation energy from raw total energies is -1.94 eV per atom.


No. 7
Compound: La6GaGe2
Source: the Alexandria database
Functional: PBE
Structure: optimized geometry

Cell and atoms, written as POSCAR:
```
La6GaGe2
1.0
7.543 0.000 0.000
0.000 7.543 0.000
0.000 0.000 11.785
La Ga Ge
12 2 4
Cartesian
1.586 1.586 0.000 La
1.646 1.646 3.915 La
1.646 1.646 7.870 La
2.125 5.418 1.978 La
2.125 5.418 9.807 La
2.185 5.357 5.892 La
5.357 2.185 5.892 La
5.418 2.125 1.978 La
5.418 2.125 9.807 La
5.896 5.896 3.915 La
5.896 5.896 7.870 La
5.957 5.957 0.000 La
0.000 0.000 5.892 Ga
3.771 3.771 0.000 Ga
0.000 0.000 2.020 Ge
0.000 0.000 9.765 Ge
3.771 3.771 3.872 Ge
3.771 3.771 7.913 Ge
```

## Properties
For the total energy, the calculation gives -0.3637 Ry/atom. The calculation puts the energy above the lowest structure with this stoichiometry at 0.2373 eV/atom. The calculation puts the energy relative to the elements at -0.30 eV/atom. Its space-group type is P4_2/mnm, No. 136. As for the density: 5.2 Mg/m³.


No. 8
Compound: LiSbTeI2
Source: the Alexandria database
Functional: PBE
Structure: optimized geometry

Cell and atoms, written as POSCAR:
```
LiSbTeI2
1.0
5.221 0.000 0.000
0.000 5.221 0.000
0.000 0.000 5.531
Li Sb Te I
1 1 1 2
Cartesian
0.000 0.000 0.000 Li
0.000 0.000 2.766 Sb
2.610 2.610 2.766 Te
0.000 2.610 0.000 I
2.610 0.000 0.000 I
```

## Properties
For the total energy, the calculation gives -0.1688 Ry/atom. The calculation puts the energy above the lowest structure with this stoichiometry at 0.3088 eV/atom. Its space-group type is P4/mmm, No. 123. As for the density: 5.6 Mg/m³. Its formation energy from raw total energies is 0.16 eV per atom.


No. 9
Compound: CdH6Cl
Source: the Alexandria database
Functional: PBE
Structure: optimized geometry

Cell and atoms, written as POSCAR:
```
CdH6Cl
1.0
2.836 0.000 0.000
-1.408 2.631 0.000
-1.263 -0.791 11.082
Cd H Cl
1 6 1
Cartesian
0.000 0.000 0.000 Cd
0.007 0.618 2.774 H
-0.926 2.364 2.768 H
-0.459 1.490 2.789 H
0.624 0.350 8.294 H
1.091 -0.523 8.315 H
0.158 1.223 8.309 H
-0.631 -0.395 5.541 Cl
```

## Properties
For the total energy, the calculation gives -0.1853 Ry/atom. Its space-group type is P-1, No. 2. As for the density: 3.1 Mg/m³.


No. 10
Compound: NiAgBr4
Source: the Alexandria database
Functional: PBE
Structure: optimized geometry

Cell and atoms, written as POSCAR:
```
NiAgBr4
1.0
0.000 4.407 4.407
4.407 0.000 4.407
4.407 4.407 0.000
Ni Ag Br
1 1 4
Cartesian
0.000 0.000 0.000 Ni
6.611 6.611 6.611 Ag
3.303 3.303 3.303 Br
5.511 5.511 3.303 Br
5.511 3.303 5.511 Br
3.303 5.511 5.511 Br
```

## Properties
For the total energy, the calculation gives -0.1147 Ry/atom. The calculation puts the energy above the lowest structure with this stoichiometry at 1.2460 eV/atom. Its space-group type is F-43m, No. 216. As for the density: 4.7 Mg/m³. Its formation energy from raw total energies is 0.99 eV per atom.


No. 11
Compound: Pm5PrTl8
Source: the Alexandria database
Functional: PBE
Structure: optimized geometry

Cell and atoms, written as POSCAR:
```
Pm5PrTl8
1.0
-4.729 4.729 4.765
4.729 -4.729 4.765
4.729 4.729 -4.765
Pm Pr Tl
5 1 8
Cartesian
0.000 0.000 0.000 Pm
5.935 2.365 -1.175 Pm
2.365 3.523 1.175 Pm
-1.206 2.364 3.590 Pm
2.364 1.206 5.941 Pm
4.729 0.000 2.383 Pr
3.150 0.789 -0.442 Tl
3.179 3.947 -1.972 Tl
1.550 0.782 2.793 Tl
3.940 -1.579 5.207 Tl
5.511 3.179 1.972 Tl
0.789 6.308 0.442 Tl
1.579 3.940 4.324 Tl
-0.782 1.550 6.738 Tl
```

## Properties
For the total energy, the calculation gives -0.2712 Ry/atom. The calculation puts the energy relative to the elements at -0.30 eV/atom. Its space-group type is I-4, No. 82. As for the density: 9.7 Mg/m³.